First-principles (PBE) data for an optimized crystal structure of TlCd2W, as listed in Alexandria via LeMat-Bulk.

Computed properties:
formation energy from the elements	0.59	eV/atom
calculated total energy	-14.81	eV per cell

POSCAR file:
```
TlCd2W
1.0
-7.9283 -6.0806 2.6423
-6.9409 -7.6552 0.1868
-5.6541 -8.1352 2.9431
Cd W Tl
2 1 1
direct
0.2530 0.2530 0.2530
0.0043 0.0043 0.0043
0.7475 0.7475 0.7475
0.4951 0.4951 0.4951
```